[1]
First-principles (PBE) data for a relaxed structure of TbZr3Pa2N6, as listed in the Alexandria database.

Cell lengths 5.8487, 5.8487, 5.8570 Å; angles 99.61, 99.61, 119.94 degrees
With the nearest neighbours (Å) after each atom.
Element x y z (fractional)
N: 0.2511 0.2511 0.7397  3 Zr 2.34, 2 Pa 2.41, 1 Tb 2.45
N: 0.5745 0.9129 0.7385  3 Zr 2.36-2.37, 2 Pa 2.41-2.42, 1 Tb 2.45
N: 0.4255 0.0871 0.2615  3 Zr 2.36-2.37, 2 Pa 2.41-2.42, 1 Tb 2.45
N: 0.9129 0.5745 0.7385  3 Zr 2.36-2.37, 2 Pa 2.41-2.42, 1 Tb 2.45
N: 0.0871 0.4255 0.2615  3 Zr 2.36-2.37, 2 Pa 2.41-2.42, 1 Tb 2.45
N: 0.7489 0.7489 0.2603  3 Zr 2.34, 2 Pa 2.41, 1 Tb 2.45
Pa: 0.6666 0.3334 0.0000  6 N 2.41-2.42
Pa: 0.3334 0.6666 0.0000  6 N 2.41-2.42
Zr: 0.1624 0.8376 0.5000  6 N 2.34-2.37
Zr: 0.8376 0.1624 0.5000  6 N 2.34-2.37
Zr: 0.5000 0.5000 0.5000  6 N 2.34-2.37
Tb: 0.0000 0.0000 0.0000  6 N 2.45

Output
* uncorrected formation energy: -20.19 eV/f.u.
* density of states at the Fermi level: 4.511 states/eV/f.u.
* DFT total energy: -9.95 eV/atom

[2]
First-principles (PBE) data for a relaxed structure of PaTcN4, as listed in the Alexandria database.

Cell lengths 5.5519, 4.8569, 5.5519 Å; angles 90.00, 90.00, 90.00 degrees
With the nearest neighbours (Å) after each atom.
Element x y z (fractional)
Pa: 0.5000 0.5000 0.7500  8 N 2.38
Pa: 0.0000 0.5000 0.2500  8 N 2.38
N: 0.1787 0.7524 0.5714  1 Tc 1.85
N: 0.1787 0.2475 0.9287  1 Tc 1.85
N: 0.8213 0.2476 0.5714  1 Tc 1.85
N: 0.8213 0.7525 0.9287  1 Tc 1.85
N: 0.3213 0.7524 0.0714  1 Tc 1.85
N: 0.3213 0.2475 0.4287  1 Tc 1.85
N: 0.6787 0.7525 0.4287  1 Tc 1.85
N: 0.6787 0.2476 0.0714  1 Tc 1.85
Tc: 0.5000 0.0000 0.2500  4 N 1.85
Tc: 0.0000 0.0000 0.7500  4 N 1.85

Output
* uncorrected formation energy: -2.49 eV/f.u.
* density of states at the Fermi level: 0.388 states/eV/f.u.
* DFT total energy: -9.28 eV/atom

[3]
First-principles (PBE) data for a relaxed structure of PaTc2N4, as listed in the Alexandria database.

Cell lengths 5.9463, 5.9445, 5.9451 Å; angles 108.98, 108.99, 110.44 degrees
With the nearest neighbours (Å) after each atom.
Element x y z (fractional)
N: 0.9378 0.2437 0.3338  3 Tc 2.10-2.21, 1 Pa 2.27
N: 0.8527 0.6869 0.1939  3 Tc 2.10-2.21, 1 Pa 2.27
N: 0.3122 0.1461 0.8063  3 Tc 2.10-2.20, 1 Pa 2.27
N: 0.9086 0.6017 0.6656  3 Tc 2.10-2.20, 1 Pa 2.27
N: 0.3413 0.5071 0.1937  3 Tc 2.10-2.20, 1 Pa 2.27
N: 0.3962 0.0903 0.3339  3 Tc 2.10-2.21, 1 Pa 2.27
N: 0.4940 0.6600 0.8065  3 Tc 2.10-2.20, 1 Pa 2.27
N: 0.7568 0.0638 0.6657  3 Tc 2.10-2.20, 1 Pa 2.27
Tc: 0.6541 0.3749 0.7805  6 N 2.10-2.21
Tc: 0.1260 0.4054 0.7804  6 N 2.10-2.21
Tc: 0.6249 0.3450 0.2207  6 N 2.10-2.20
Tc: 0.5960 0.8762 0.2209  6 N 2.10-2.21
Pa: 0.2498 0.7496 0.4994  7 N 2.27-2.55
Pa: 0.9995 0.9994 0.9989  7 N 2.27-2.55

Output
* uncorrected formation energy: -4.03 eV/f.u.
* density of states at the Fermi level: 3.320 states/eV/f.u.
* DFT total energy: -9.65 eV/atom

[4]
First-principles (PBE) data for a relaxed structure of PaTcN, as listed in the Alexandria database.

Cell lengths 3.9456, 3.9456, 8.0232 Å; angles 75.77, 75.77, 60.00 degrees
With the nearest neighbours (Å) after each atom.
Element x y z (fractional)
N: 0.2988 0.2988 0.1035  4 Pa 2.25-2.37
N: 0.7012 0.7012 0.8965  4 Pa 2.25-2.37
Pa: 0.3962 0.3962 0.8113  4 N 2.25-2.37
Pa: 0.6038 0.6038 0.1887  4 N 2.25-2.37
Tc: 0.1523 0.1523 0.5430  3 Tc 2.37
Tc: 0.8477 0.8477 0.4570  3 Tc 2.37

Output
* distance to the lowest polymorph of the same formula: 0 meV per atom
* uncorrected formation energy: -2.34 eV/f.u.
* density of states at the Fermi level: 0.953 states/eV/f.u.
* DFT total energy: -10.17 eV/atom

[5]
First-principles (PBE) data for a relaxed structure of Pa6TcN12, as listed in the Alexandria database.

Cell lengths 6.5263, 6.5263, 6.5263 Å; angles 98.48, 98.48, 98.48 degrees
With the nearest neighbours (Å) after each atom.
Element x y z (fractional)
Tc: 0.0000 0.0000 0.0000  6 N 2.07
Pa: 0.6021 0.1349 0.2916  6 N 2.22-2.44
Pa: 0.8651 0.7084 0.3979  6 N 2.22-2.44
Pa: 0.1349 0.2916 0.6021  6 N 2.22-2.44
Pa: 0.7084 0.3979 0.8651  6 N 2.22-2.44
Pa: 0.3979 0.8651 0.7084  6 N 2.22-2.44
Pa: 0.2916 0.6021 0.1349  6 N 2.22-2.44
N: 0.8249 0.4063 0.5632  4 Pa 2.22-2.44
N: 0.9338 0.6934 0.0531  1 Tc 2.07, 1 Pa 2.31
N: 0.4368 0.1751 0.5937  4 Pa 2.22-2.44
N: 0.4063 0.5632 0.8249  4 Pa 2.22-2.44
N: 0.3066 0.9469 0.0662  1 Tc 2.07, 1 Pa 2.31
N: 0.5632 0.8249 0.4063  4 Pa 2.22-2.44
N: 0.6934 0.0531 0.9338  1 Tc 2.07, 1 Pa 2.31
N: 0.0662 0.3066 0.9469  1 Tc 2.07, 1 Pa 2.31
N: 0.0531 0.9338 0.6934  1 Tc 2.07, 1 Pa 2.31
N: 0.9469 0.0662 0.3066  1 Tc 2.07, 1 Pa 2.31
N: 0.5937 0.4368 0.1751  4 Pa 2.22-2.44
N: 0.1751 0.5937 0.4368  4 Pa 2.22-2.44

Output
* uncorrected formation energy: -26.05 eV/f.u.
* density of states at the Fermi level: 4.994 states/eV/f.u.
* DFT total energy: -10.17 eV/atom

[6]
First-principles (PBE) data for a relaxed structure of PaTcN, as listed in the Alexandria database.

Cell lengths 5.0294, 3.3344, 3.3344 Å; angles 120.00, 90.00, 90.00 degrees
With the nearest neighbours (Å) after each atom.
Element x y z (fractional)
Tc: 0.8015 0.6667 0.3333  3 N 2.06
Pa: 0.2492 0.3333 0.6667  3 N 2.45
N: 0.9493 0.0000 0.0000  3 Tc 2.06

Output
* distance to the lowest polymorph of the same formula: 452 meV per atom
* uncorrected formation energy: -0.98 eV/f.u.
* density of states at the Fermi level: 4.203 states/eV/f.u.
* DFT total energy: -9.72 eV/atom

[7]
First-principles (PBE) data for a relaxed structure of PaTcN, as listed in the Alexandria database.

Cell lengths 3.9966, 3.9966, 4.2767 Å; angles 117.86, 117.86, 90.00 degrees
With the nearest neighbours (Å) after each atom.
Element x y z (fractional)
N: 0.6066 0.6066 0.2131  1 Tc 1.93, 1 Pa 2.12
Tc: 0.3061 0.3061 0.6123  1 N 1.93
Pa: 0.9373 0.9373 0.8746  1 N 2.12, 1 Tc 2.37

Output
* distance to the lowest polymorph of the same formula: 884 meV per atom
* uncorrected formation energy: 0.31 eV/f.u.
* density of states at the Fermi level: 3.637 states/eV/f.u.
* DFT total energy: -9.29 eV/atom

[8]
First-principles (PBE) data for a relaxed structure of Pa5Tc2N12, as listed in the Alexandria database.

Cell lengths 5.8434, 6.8128, 7.5559 Å; angles 105.95, 90.00, 115.39 degrees
With the nearest neighbours (Å) after each atom.
Element x y z (fractional)
Tc: 0.2135 0.0000 0.0000  4 N 1.95-2.00
Tc: 0.7865 0.0000 0.0000  4 N 1.95-2.00
N: 0.5989 0.6908 0.4247  4 Pa 2.32-2.41
N: 0.4369 0.3367 0.0863  1 Tc 2.00
N: 0.9080 0.3092 0.5753  4 Pa 2.32-2.41
N: 0.0920 0.6908 0.4247  4 Pa 2.32-2.41
N: 0.5011 0.0022 0.8124  2 Pa 2.20-2.25, 2 Tc 2.20
N: 0.0015 0.0030 0.8031  2 Tc 1.95
N: 0.8999 0.3367 0.0863  1 Tc 2.00
N: 0.4989 0.9978 0.1876  2 Pa 2.20-2.25, 2 Tc 2.20
N: 0.9985 0.9970 0.1969  2 Tc 1.95
N: 0.4011 0.3092 0.5753  4 Pa 2.32-2.41
N: 0.1001 0.6633 0.9137  1 Tc 2.00
N: 0.5631 0.6633 0.9137  1 Tc 2.00
Pa: 0.0000 0.0000 0.5000  6 N 2.28-2.32
Pa: 0.6836 0.3672 0.8375  7 N 2.20-2.41
Pa: 0.6854 0.3708 0.3474  7 N 2.25-2.39
Pa: 0.3146 0.6292 0.6526  7 N 2.25-2.39
Pa: 0.3164 0.6328 0.1625  7 N 2.20-2.41

Output
* uncorrected formation energy: -22.25 eV/f.u.
* density of states at the Fermi level: 3.684 states/eV/f.u.
* DFT total energy: -10.02 eV/atom

[9]
First-principles (PBE) data for a relaxed structure of Pa2Tc2N7, as listed in the Alexandria database.

Cell lengths 5.9945, 5.1582, 5.9944 Å; angles 83.78, 69.55, 96.22 degrees
With the nearest neighbours (Å) after each atom.
Element x y z (fractional)
N: 0.0000 0.0000 0.0000  2 Tc 1.82
N: 0.5809 0.7674 0.4191  1 Tc 1.96
N: 0.0610 0.7036 0.6082  1 Tc 1.88
N: 0.9390 0.2964 0.3918  1 Tc 1.88
N: 0.6082 0.2964 0.0610  1 Tc 1.88
N: 0.4191 0.2326 0.5809  1 Tc 1.96
N: 0.3918 0.7036 0.9390  1 Tc 1.88
Tc: 0.7622 0.1106 0.2378  4 N 1.82-1.96
Tc: 0.2378 0.8894 0.7622  4 N 1.82-1.96
Pa: 0.6825 0.5000 0.6825  6 N 2.26-2.32
Pa: 0.3175 0.5000 0.3175  6 N 2.26-2.32

Output
* uncorrected formation energy: -7.19 eV/f.u.
* density of states at the Fermi level: 8.046 states/eV/f.u.
* DFT total energy: -9.56 eV/atom

[10]
First-principles (PBE) data for a relaxed structure of Th2PaTcN5, as listed in the Alexandria database.

Cell lengths 6.6135, 6.6135, 7.5364 Å; angles 116.03, 116.03, 90.00 degrees
With the nearest neighbours (Å) after each atom.
Element x y z (fractional)
Tc: 0.2500 0.7500 0.5000  4 N 1.94
Tc: 0.7500 0.2500 0.5000  4 N 1.94
N: 0.6995 0.1995 0.7136  1 Tc 1.94
N: 0.3005 0.8005 0.2864  1 Tc 1.94
N: 0.9858 0.4858 0.2864  1 Tc 1.94
N: 0.4858 0.3005 0.2864  1 Tc 1.94
N: 0.5142 0.6995 0.7136  1 Tc 1.94
N: 0.8005 0.9858 0.2864  1 Tc 1.94
N: 0.1995 0.0142 0.7136  1 Tc 1.94
N: 0.0000 0.0000 0.0000  4 Th 2.45
N: 0.0142 0.5142 0.7136  1 Tc 1.94
N: 0.5000 0.5000 0.0000  4 Th 2.45
Th: 0.3288 0.8288 0.0000  4 N 2.33-2.45
Th: 0.6712 0.1712 0.0000  4 N 2.33-2.45
Th: 0.1712 0.3288 0.0000  4 N 2.33-2.45
Th: 0.8288 0.6712 0.0000  4 N 2.33-2.45
Pa: 0.2500 0.2500 0.5000  10 N 2.79-2.95
Pa: 0.7500 0.7500 0.5000  10 N 2.79-2.95

Output
* uncorrected formation energy: -9.29 eV/f.u.
* density of states at the Fermi level: 5.418 states/eV/f.u.
* DFT total energy: -9.51 eV/atom